A plane-wave DFT calculation with PBE was carried out for an optimized crystal structure of PrPH2Rh.

Cell: 3.7731 5.5032 6.7069 Å, 90.00 90.00 110.05°
Closest atoms and distances in Å follow each position.
Fractional coordinates of all 10 atoms:
Rh: 0.0000 0.0000 0.0000  2 H 1.72
H: 0.1628 0.3255 0.5538  1 Rh 1.72
H: 0.8372 0.6745 0.0538  1 Rh 1.72
Pr: 0.2784 0.5567 0.2500  6 H 2.36-2.38
H: 0.8372 0.6745 0.4462  1 Rh 1.72
H: 0.1628 0.3255 0.9462  1 Rh 1.72
P: 0.4457 0.8914 0.7500  4 Rh 2.59, 1 Pr 2.85
Pr: 0.7216 0.4433 0.7500  6 H 2.36-2.38
Rh: 0.0000 0.0000 0.5000  2 H 1.72
P: 0.5543 0.1086 0.2500  4 Rh 2.59, 1 Pr 2.85

Properties
space group	No. 63
volume	65.4	Å³/f.u.
DFT total energy	-55.5	eV/cell
spin magnetization	0.00	μB/cell